This record from Alexandria describes a relaxed structure of Pu6AsRu5. The functional is PBE.

formation energy: -0.164 eV per atom

```
Pu6AsRu5
1.0
-0.700 -1.230 4.001
7.152 -0.494 1.102
0.280 7.420 1.506
Ru Pu As
5 6 1
Direct
0.273 0.000 0.650
0.727 0.000 0.350
0.740 0.500 0.348
0.000 0.500 0.000
0.260 0.500 0.652
0.780 0.753 0.673
0.500 0.270 0.000
0.220 0.752 0.328
0.500 0.730 0.000
0.220 0.247 0.327
0.780 0.248 0.672
0.000 0.000 0.000
```



This record from Alexandria describes a relaxed structure of PuAsRu. The functional is PBE.

formation energy: -0.493 eV per atom

```
PuAsRu
1.0
3.716 0.000 0.000
0.000 4.279 0.000
0.000 -2.140 3.706
Pu As Ru
1 1 1
Direct
0.667 0.667 0.333
0.167 0.000 0.000
0.167 0.333 0.667
```



This record from Alexandria describes a relaxed structure of PuTcAs2Ru. The functional is PBE.

formation energy: -0.497 eV per atom

```
PuTcAs2Ru
1.0
-3.859 1.179 -1.262
-1.670 -1.753 3.466
3.303 4.736 1.409
Ru Pu Tc As
1 1 1 2
Direct
0.250 0.750 0.500
0.000 0.000 0.000
0.750 0.250 0.500
0.369 0.369 0.738
0.631 0.631 0.262
```



This record from Alexandria describes a relaxed structure of PuUAs2Ru2. The functional is PBE.

formation energy: -0.565 eV per atom

```
PuUAs2Ru2
1.0
4.193 0.000 0.000
-2.096 3.631 0.000
0.000 0.000 7.537
U As Ru Pu
1 2 2 1
Direct
0.000 0.000 0.500
0.333 0.667 0.225
0.667 0.333 0.775
0.667 0.333 0.303
0.333 0.667 0.697
0.000 0.000 0.000
```



This record from Alexandria describes a relaxed structure of Pu8As4S3. The functional is PBE.

formation energy (no corrections): -1.176 eV/atom

```
Pu8As4S3
1.0
-6.959 3.089 -2.943
0.105 -3.606 7.259
5.974 4.945 2.359
As S Pu
4 3 8
Direct
0.000 0.000 0.500
0.000 0.000 0.000
0.500 0.000 0.000
0.000 0.500 0.000
0.500 0.000 0.500
0.500 0.500 0.500
0.500 0.500 0.000
0.493 0.743 0.743
0.000 0.255 0.745
0.007 0.260 0.260
0.500 0.747 0.253
0.507 0.257 0.257
0.000 0.745 0.255
0.993 0.740 0.740
0.500 0.253 0.747
```



This record from Alexandria describes a relaxed structure of PuAs2S6. The functional is PBE.

formation energy (no corrections): -0.342 eV/atom

```
PuAs2S6
1.0
6.553 0.000 0.000
3.276 5.675 0.000
3.276 1.892 7.345
S As Pu
6 2 1
Direct
0.456 0.094 0.750
0.094 0.700 0.750
0.700 0.456 0.750
0.928 0.290 0.251
0.290 0.531 0.251
0.531 0.928 0.251
0.610 0.610 0.170
0.723 0.723 0.831
0.333 0.333 0.000
```



This record from Alexandria describes a relaxed structure of Pu3AsS2. The functional is PBE.

formation energy (no corrections): -1.522 eV/atom

```
Pu3AsS2
1.0
3.891 0.000 -1.102
-0.598 5.277 -2.112
-0.127 -0.320 6.969
As S Pu
1 2 3
Direct
0.000 0.500 0.000
0.336 0.836 0.671
0.664 0.164 0.329
0.673 0.673 0.346
0.327 0.327 0.654
0.000 0.000 0.000
```



This record from Alexandria describes a relaxed structure of PuAsS. The functional is PBE.

formation energy (no corrections): -1.268 eV/atom

```
PuAsS
1.0
-0.245 -0.067 -3.868
1.663 -3.502 -0.044
-8.117 -1.741 2.486
Pu As S
2 2 2
Direct
0.647 0.647 0.295
0.353 0.353 0.705
0.000 0.500 0.000
0.500 0.000 0.000
0.183 0.183 0.365
0.817 0.817 0.635
```



This record from Alexandria describes a relaxed structure of Pu5AsS4. The functional is PBE.

formation energy (no corrections): -1.617 eV/atom

```
Pu5AsS4
1.0
5.110 0.000 2.465
2.555 6.334 1.232
-0.197 0.000 6.937
S Pu As
4 5 1
Direct
0.201 0.197 0.402
0.398 0.402 0.803
0.604 0.598 0.197
0.801 0.803 0.598
0.501 0.000 0.000
0.898 0.409 0.796
0.307 0.796 0.591
0.104 0.591 0.204
0.695 0.204 0.409
0.001 0.000 0.000
```



This record from Alexandria describes a relaxed structure of Pu6As3S. The functional is PBE.

formation energy (no corrections): -0.685 eV/atom

```
Pu6As3S
1.0
-2.040 0.949 -7.670
-5.609 -2.815 -1.491
-5.113 3.850 -0.798
Pu As S
6 3 1
Direct
0.338 0.679 0.142
0.113 0.713 0.713
0.662 0.858 0.321
0.338 0.142 0.679
0.662 0.321 0.858
0.887 0.287 0.287
0.295 0.194 0.194
0.705 0.806 0.806
0.000 0.000 0.000
0.500 0.500 0.500
```



This record from Alexandria describes a relaxed structure of Pu4As3S. The functional is PBE.

distance to the lowest polymorph of the same formula: 21.1 kJ/mol of formula units
formation energy (no corrections): -1.162 eV/atom

```
Pu4As3S
1.0
4.096 0.000 0.000
0.000 7.095 -0.080
0.000 -2.312 6.708
As Pu S
3 4 1
Direct
0.000 0.500 0.000
0.500 0.500 0.500
0.000 0.000 0.500
0.500 0.248 0.752
0.000 0.244 0.244
0.000 0.756 0.756
0.500 0.752 0.248
0.500 0.000 0.000
```



This record from Alexandria describes a relaxed structure of Pu5As4S. The functional is PBE.

formation energy (no corrections): -1.127 eV/atom

```
Pu5As4S
1.0
-1.027 3.507 1.868
-2.342 1.025 -3.212
-9.678 -8.883 6.845
Pu As S
5 4 1
Direct
0.098 0.098 0.196
0.500 0.500 0.000
0.700 0.700 0.400
0.902 0.902 0.804
0.300 0.300 0.600
0.600 0.600 0.199
0.400 0.400 0.801
0.200 0.200 0.399
0.800 0.800 0.601
0.000 0.000 0.000
```



| no. | electronic total energy (eV per atom) |
| --- | --- |
| 1 | -11.5820 |
| 2 | -9.9124 |
| 3 | -9.1514 |
| 4 | -9.4767 |
| 5 | -10.8851 |
| 6 | -5.7190 |
| 7 | -10.8387 |
| 8 | -8.9710 |
| 9 | -10.8985 |
| 10 | -11.0917 |
| 11 | -10.5875 |
| 12 | -10.5658 |